Density functional theory data (GGA-PBE) for a geometry-optimized TcSb3 structure.

It has space group R-3m (No. 166, hexagonal axes), with a = 9.8247 Å, b = 9.8247 Å, c = 3.3193 Å, α = 90.00°, β = 90.00° and γ = 120.00°. The distinct sites, in fractional coordinates, are Tc at (0.0000, 0.0000, 0.0000) and Sb at (0.0000, 0.5000, 0.0000).

The calculation puts the formation energy without anion corrections at 0.69 eV/atom. The value obtained for the raw total energy is -59.947 eV per cell. For the density of states at the Fermi level, the calculation gives 12.7 states/eV/cell. The value obtained for the energy above the most stable polymorph in this dataset is 653.5 meV/atom.


Density functional theory data (GGA-PBE) for a geometry-optimized TcSb3 structure.

It has space group Pmm2 (No. 25), with a = 3.522 Å, b = 4.558 Å, c = 6.504 Å, α = 90.00°, β = 90.00° and γ = 90.00°. The distinct sites, in fractional coordinates, are Tc at (0.000, 0.000, 0.000), Sb at (0.000, 0.500, 0.773), Sb at (0.500, 0.000, 0.666) and Sb at (0.500, 0.500, 0.189).

The calculation puts the formation energy without anion corrections at 0.45 eV/atom. The value obtained for the raw total energy is -20.940 eV per cell. For the density of states at the Fermi level, the calculation gives 2.6 states/eV/cell. The value obtained for the energy above the most stable polymorph in this dataset is 414.1 meV/atom.


Density functional theory data (GGA-PBE) for a geometry-optimized Tc3Sb2 structure.

It has space group Fdd2 (No. 43), with a = 11.816 Å, b = 12.181 Å, c = 5.175 Å, α = 90.00°, β = 90.00° and γ = 90.00°. The distinct sites, in fractional coordinates, are Tc at (0.000, 0.000, 0.000), Tc at (0.098, 0.130, 0.423) and Sb at (0.069, 0.206, 0.922).

The calculation puts the formation energy without anion corrections at 0.34 eV/atom. The value obtained for the raw total energy is -301.121 eV per cell. For the density of states at the Fermi level, the calculation gives 35.2 states/eV/cell. The value obtained for the energy above the most stable polymorph in this dataset is 17.5 meV/atom.


Density functional theory data (GGA-PBE) for a geometry-optimized TcSb2 structure.

It has space group P-3m1 (No. 164), with a = 4.7260 Å, b = 4.7260 Å, c = 3.3568 Å, α = 90.00°, β = 90.00° and γ = 120.00°. The distinct sites, in fractional coordinates, are Tc at (0.0000, 0.0000, 0.0000) and Sb at (0.3333, 0.6667, 0.7963).

The calculation puts the formation energy without anion corrections at 0.52 eV/atom. The value obtained for the raw total energy is -17.052 eV per cell. For the density of states at the Fermi level, the calculation gives 3.4 states/eV/cell. The value obtained for the energy above the most stable polymorph in this dataset is 537.3 meV/atom.


Density functional theory data (GGA-PBE) for a geometry-optimized TcSb3 structure.

It has space group Cmcm (No. 63), with a = 3.366 Å, b = 12.963 Å, c = 8.569 Å, α = 90.00°, β = 90.00° and γ = 90.00°. The distinct sites, in fractional coordinates, are Tc at (0.000, 0.225, 0.250), Sb at (0.000, 0.151, 0.565) and Sb at (0.000, 0.440, 0.750).

The calculation puts the formation energy without anion corrections at 0.03 eV/atom. The value obtained for the raw total energy is -90.386 eV per cell. For the density of states at the Fermi level, the calculation gives 7.7 states/eV/cell. The value obtained for the energy above the most stable polymorph in this dataset is 0.0 meV/atom.


Density functional theory data (GGA-PBE) for a geometry-optimized TcSb4 structure.

It has space group C2/c (No. 15), with a = 6.396 Å, b = 12.890 Å, c = 7.120 Å, α = 90.00°, β = 111.65° and γ = 90.00°. The distinct sites, in fractional coordinates, are Tc at (0.000, 0.066, 0.250), Sb at (0.237, 0.286, 0.806) and Sb at (0.250, 0.076, 0.656).

The calculation puts the formation energy without anion corrections at 0.10 eV/atom. The value obtained for the raw total energy is -105.439 eV per cell. For the density of states at the Fermi level, the calculation gives 15.4 states/eV/cell. The value obtained for the energy above the most stable polymorph in this dataset is 0.0 meV/atom.


Density functional theory data (GGA-PBE) for a geometry-optimized Tc4Sb3 structure.

It has space group I4/mmm (No. 139), with a = 3.040 Å, b = 3.040 Å, c = 28.963 Å, α = 90.00°, β = 90.00° and γ = 90.00°. The distinct sites, in fractional coordinates, are Tc at (0.000, 0.000, 0.065), Tc at (0.000, 0.000, 0.379), Sb at (0.000, 0.000, 0.187) and Sb at (0.000, 0.000, 0.500).

The calculation puts the formation energy without anion corrections at 0.13 eV/atom. The value obtained for the raw total energy is -105.887 eV per cell. For the density of states at the Fermi level, the calculation gives 10.6 states/eV/cell. The value obtained for the energy above the most stable polymorph in this dataset is 0.0 meV/atom.


Density functional theory data (GGA-PBE) for a geometry-optimized TcSb3 structure.

It has space group Imm2 (No. 44), with a = 3.272 Å, b = 12.275 Å, c = 5.112 Å, α = 90.00°, β = 90.00° and γ = 90.00°. The distinct sites, in fractional coordinates, are Tc at (0.000, 0.000, 0.000), Sb at (0.000, 0.333, 0.659) and Sb at (0.000, 0.500, 0.086).

The calculation puts the formation energy without anion corrections at 0.19 eV/atom. The value obtained for the raw total energy is -43.929 eV per cell. For the density of states at the Fermi level, the calculation gives 4.7 states/eV/cell. The value obtained for the energy above the most stable polymorph in this dataset is 158.0 meV/atom.


Density functional theory data (GGA-PBE) for a geometry-optimized Tc3Sb structure.

It has space group P6_3/mmc (No. 194), with a = 5.6585 Å, b = 5.6585 Å, c = 9.2384 Å, α = 90.00°, β = 90.00° and γ = 120.00°. The distinct sites, in fractional coordinates, are Tc at (0.0000, 0.5000, 0.0000), Tc at (0.1672, 0.3345, 0.2500), Sb at (0.0000, 0.0000, 0.0000) and Sb at (0.3333, 0.6667, 0.7500).

The calculation puts the formation energy without anion corrections at 0.34 eV/atom. The value obtained for the raw total energy is -135.413 eV per cell. For the density of states at the Fermi level, the calculation gives 19.9 states/eV/cell. The value obtained for the energy above the most stable polymorph in this dataset is 145.2 meV/atom.


Density functional theory data (GGA-PBE) for a geometry-optimized TcSb4 structure.

It has space group Pm-3m (No. 221), with a = 5.160 Å, b = 5.160 Å, c = 5.160 Å, α = 90.00°, β = 90.00° and γ = 90.00°. The distinct sites, in fractional coordinates, are Tc at (0.000, 0.000, 0.000), Sb at (0.000, 0.000, 0.500) and Sb at (0.500, 0.500, 0.500).

The calculation puts the formation energy without anion corrections at 0.42 eV/atom. The value obtained for the raw total energy is -24.751 eV per cell. For the density of states at the Fermi level, the calculation gives 3.9 states/eV/cell. The value obtained for the energy above the most stable polymorph in this dataset is 321.7 meV/atom.


Density functional theory data (GGA-PBE) for a geometry-optimized Tc3Sb2 structure.

It has space group P-3m1 (No. 164), with a = 4.4522 Å, b = 4.4522 Å, c = 5.5225 Å, α = 90.00°, β = 90.00° and γ = 120.00°. The distinct sites, in fractional coordinates, are Tc at (0.0000, 0.0000, 0.0000), Tc at (0.3333, 0.6667, 0.3101) and Sb at (0.3333, 0.6667, 0.7935).

The calculation puts the formation energy without anion corrections at 0.50 eV/atom. The value obtained for the raw total energy is -36.859 eV per cell. For the density of states at the Fermi level, the calculation gives 7.7 states/eV/cell. The value obtained for the energy above the most stable polymorph in this dataset is 173.8 meV/atom.


Density functional theory data (GGA-PBE) for a geometry-optimized TcSb2 structure.

It has space group P6/mmm (No. 191), with a = 5.0793 Å, b = 5.0793 Å, c = 3.0115 Å, α = 90.00°, β = 90.00° and γ = 120.00°. The distinct sites, in fractional coordinates, are Tc at (0.0000, 0.0000, 0.0000) and Sb at (0.3333, 0.6667, 0.5000).

The calculation puts the formation energy without anion corrections at 0.91 eV/atom. The value obtained for the raw total energy is -15.875 eV per cell. For the density of states at the Fermi level, the calculation gives 2.5 states/eV/cell. The value obtained for the energy above the most stable polymorph in this dataset is 929.6 meV/atom.


Density functional theory data (GGA-PBE) for a geometry-optimized TcSb2 structure.

It has space group P6_3/mmc (No. 194), with a = 4.8260 Å, b = 4.8260 Å, c = 6.2629 Å, α = 90.00°, β = 90.00° and γ = 120.00°. The distinct sites, in fractional coordinates, are Tc at (0.3333, 0.6667, 0.2500), Sb at (0.0000, 0.0000, 0.0000) and Sb at (0.3333, 0.6667, 0.7500).

The calculation puts the formation energy without anion corrections at 0.58 eV/atom. The value obtained for the raw total energy is -33.749 eV per cell. For the density of states at the Fermi level, the calculation gives 7.4 states/eV/cell. The value obtained for the energy above the most stable polymorph in this dataset is 596.4 meV/atom.


Density functional theory data (GGA-PBE) for a geometry-optimized TcSb3 structure.

It has space group Pm-3m (No. 221), with a = 5.223 Å, b = 5.223 Å, c = 5.223 Å, α = 90.00°, β = 90.00° and γ = 90.00°. The distinct sites, in fractional coordinates, are Tc at (0.000, 0.000, 0.000) and Sb at (0.000, 0.000, 0.500).

The calculation puts the formation energy without anion corrections at 0.65 eV/atom. The value obtained for the raw total energy is -20.114 eV per cell. For the density of states at the Fermi level, the calculation gives 7.2 states/eV/cell. The value obtained for the energy above the most stable polymorph in this dataset is 620.5 meV/atom.


Density functional theory data (GGA-PBE) for a geometry-optimized Tc3Sb structure.

It has space group Fm-3m (No. 225), with a = 6.344 Å, b = 6.344 Å, c = 6.344 Å, α = 90.00°, β = 90.00° and γ = 90.00°. The distinct sites, in fractional coordinates, are Tc at (0.000, 0.000, 0.000), Tc at (0.250, 0.250, 0.250) and Sb at (0.000, 0.000, 0.500).

The calculation puts the formation energy without anion corrections at 0.22 eV/atom. The value obtained for the raw total energy is -137.362 eV per cell. For the density of states at the Fermi level, the calculation gives 9.0 states/eV/cell. The value obtained for the energy above the most stable polymorph in this dataset is 23.4 meV/atom.


Density functional theory data (GGA-PBE) for a geometry-optimized TcSb2 structure.

It has space group I4/mcm (No. 140), with a = 6.377 Å, b = 6.377 Å, c = 6.073 Å, α = 90.00°, β = 90.00° and γ = 90.00°. The distinct sites, in fractional coordinates, are Tc at (0.000, 0.000, 0.250) and Sb at (0.162, 0.338, 0.000).

The calculation puts the formation energy without anion corrections at 0.04 eV/atom. The value obtained for the raw total energy is -73.969 eV per cell. For the density of states at the Fermi level, the calculation gives 9.4 states/eV/cell. The value obtained for the energy above the most stable polymorph in this dataset is 57.2 meV/atom.


Density functional theory data (GGA-PBE) for a geometry-optimized TcSb3 structure.

It has space group Cmcm (No. 63), with a = 8.623 Å, b = 13.290 Å, c = 3.958 Å, α = 90.00°, β = 90.00° and γ = 90.00°. The distinct sites, in fractional coordinates, are Tc at (0.000, 0.047, 0.250), Sb at (0.000, 0.411, 0.250) and Sb at (0.248, 0.339, 0.750).

The calculation puts the formation energy without anion corrections at 0.39 eV/atom. The value obtained for the raw total energy is -84.706 eV per cell. For the density of states at the Fermi level, the calculation gives 9.8 states/eV/cell. The value obtained for the energy above the most stable polymorph in this dataset is 355.0 meV/atom.


Density functional theory data (GGA-PBE) for a geometry-optimized Tc4SbTe structure.

It has space group F-43m (No. 216), with a = 7.508 Å, b = 7.508 Å, c = 7.508 Å, α = 90.00°, β = 90.00° and γ = 90.00°. The distinct sites, in fractional coordinates, are Tc at (0.125, 0.125, 0.125), Sb at (0.000, 0.000, 0.500) and Te at (0.250, 0.250, 0.750).

The calculation puts the formation energy without anion corrections at 0.61 eV/atom. The value obtained for the raw total energy is -180.382 eV per cell. For the density of states at the Fermi level, the calculation gives 26.1 states/eV/cell.


Density functional theory data (GGA-PBE) for a geometry-optimized TcSbTe3 structure.

It has space group Pm-3m (No. 221), with a = 5.685 Å, b = 5.685 Å, c = 5.685 Å, α = 90.00°, β = 90.00° and γ = 90.00°. The distinct sites, in fractional coordinates, are Tc at (0.000, 0.000, 0.000), Sb at (0.500, 0.500, 0.500) and Te at (0.000, 0.500, 0.500).

The calculation puts the formation energy without anion corrections at 1.24 eV/atom. The value obtained for the raw total energy is -17.722 eV per cell. For the density of states at the Fermi level, the calculation gives 4.4 states/eV/cell. The value obtained for the energy above the most stable polymorph in this dataset is 749.5 meV/atom.


Density functional theory data (GGA-PBE) for a geometry-optimized TcSb3Te structure.

It has space group Pm-3m (No. 221), with a = 5.653 Å, b = 5.653 Å, c = 5.653 Å, α = 90.00°, β = 90.00° and γ = 90.00°. The distinct sites, in fractional coordinates, are Tc at (0.000, 0.000, 0.000), Sb at (0.000, 0.500, 0.500) and Te at (0.500, 0.500, 0.500).

The calculation puts the formation energy without anion corrections at 1.58 eV/atom. The value obtained for the raw total energy is -17.977 eV per cell. For the density of states at the Fermi level, the calculation gives 5.7 states/eV/cell. The value obtained for the energy above the most stable polymorph in this dataset is 1267.0 meV/atom.